No. 1
First-principles (SCAN) data for YTlAs at its PBEsol-relaxed geometry, as listed in Alexandria via LeMat-Bulk.

abc: 4.8834 4.8834 4.8834
angles: 60.00 60.00 60.00
Atoms (fractional coordinates):
1 As 0.0000 0.0000 0.0000
2 Tl 0.5000 0.5000 0.5000
3 Y 0.2500 0.2500 0.2500

## Properties
Uncorrected energy ... -40.54 eV per atom
Calculated volume ... 27.4 Å³/atom
SG ... F-43m, No. 216
M_tot ... 0.0 μB per cell
Crystal system ... cubic
DOS(E_F) ... 2.578 states/eV per cell

---

No. 2
First-principles (SCAN) data for Y2TlAs at its PBEsol-relaxed geometry, as listed in Alexandria via LeMat-Bulk.

abc: 5.1476 5.1476 5.1476
angles: 60.00 60.00 60.00
Atoms (fractional coordinates):
1 Tl 0.5000 0.5000 0.5000
2 Y 0.2500 0.2500 0.2500
3 Y 0.7500 0.7500 0.7500
4 As 0.0000 0.0000 0.0000

## Properties
Calculated volume ... 24.1 Å³/atom
SG ... Fm-3m, No. 225
M_tot ... 0.0 μB per cell
Energy relative to the lowest polymorph listed for this composition ... 1.65 eV/f.u.
Crystal system ... cubic
DOS(E_F) ... 3.633 states/eV per cell

---

No. 3
First-principles (SCAN) data for TlZn3As at its PBEsol-relaxed geometry, as listed in Alexandria via LeMat-Bulk.

abc: 4.9712 4.9712 4.9712
angles: 90.00 90.00 90.00
Atoms (fractional coordinates):
1 As 0.5000 0.5000 0.5000
2 Tl 0.0000 0.0000 0.0000
3 Zn 0.0000 0.5000 0.0000
4 Zn 0.0000 0.0000 0.5000
5 Zn 0.5000 0.0000 0.0000

## Properties
Uncorrected energy ... -25.76 eV per atom
Calculated volume ... 24.6 Å³/atom
SG ... Pm-3m, No. 221
M_tot ... 0.0 μB per cell
Crystal system ... cubic
DOS(E_F) ... 4.326 states/eV per cell

---

No. 4
First-principles (SCAN) data for TlZnAs2 at its PBEsol-relaxed geometry, as listed in Alexandria via LeMat-Bulk.

abc: 3.5620 4.1417 7.0450
angles: 108.06 90.00 115.47
Atoms (fractional coordinates):
1 As 0.9436 0.8871 0.0326
2 As 0.3265 0.6530 0.7683
3 Zn 0.7092 0.4185 0.2076
4 Tl 0.5207 0.0414 0.4914

## Properties
Calculated volume ... 22.0 Å³/atom
SG ... Cm, No. 8
M_tot ... 0.0 μB per cell
Energy relative to the lowest polymorph listed for this composition ... 0.25 eV/f.u.
Crystal system ... monoclinic
DOS(E_F) ... 1.229 states/eV per cell

---

No. 5
First-principles (SCAN) data for TlZn2As at its PBEsol-relaxed geometry, as listed in Alexandria via LeMat-Bulk.

abc: 3.1497 3.1497 7.9632
angles: 90.00 90.00 98.20
Atoms (fractional coordinates):
1 Zn 0.5000 0.5000 0.7598
2 As 0.0000 0.0000 0.5583
3 Tl 0.5000 0.5000 0.2317
4 Zn 0.0000 0.0000 0.9503

## Properties
Uncorrected energy ... -29.68 eV per atom
Calculated volume ... 19.5 Å³/atom
SG ... Cmm2, No. 35
M_tot ... 0.0 μB per cell
Crystal system ... orthorhombic
DOS(E_F) ... 1.041 states/eV per cell

---

No. 6
First-principles (SCAN) data for TlZnAs2 at its PBEsol-relaxed geometry, as listed in Alexandria via LeMat-Bulk.

abc: 5.8390 5.8390 7.2601
angles: 113.71 113.71 90.00
Atoms (fractional coordinates):
1 As 0.1250 0.1635 0.7500
2 As 0.4135 0.8750 0.2500
3 Tl 0.2500 0.7500 0.5000
4 Zn 0.5000 0.5000 0.0000
5 As 0.8365 0.3750 0.2500
6 Tl 0.0000 0.0000 0.0000
7 As 0.6250 0.5865 0.7500
8 Zn 0.7500 0.2500 0.5000

## Properties
Calculated volume ... 25.4 Å³/atom
SG ... I-42d, No. 122
M_tot ... 0.0 μB per cell
Energy relative to the lowest polymorph listed for this composition ... 0.00 eV/f.u.
Crystal system ... tetragonal
DOS(E_F) ... 4.419 states/eV per cell

---

No. 7
First-principles (SCAN) data for Tl2ZnAs at its PBEsol-relaxed geometry, as listed in Alexandria via LeMat-Bulk.

abc: 4.7856 5.2597 4.7856
angles: 62.94 90.00 117.06
Atoms (fractional coordinates):
1 Zn 0.5000 0.0000 0.5000
2 As 0.7500 0.5000 0.7500
3 Tl 0.2500 0.5000 0.2500
4 Tl 0.0000 0.0000 0.0000

## Properties
Calculated volume ... 23.1 Å³/atom
SG ... I-4m2, No. 119
M_tot ... 0.0 μB per cell
Energy relative to the lowest polymorph listed for this composition ... 1.22 eV/f.u.
Crystal system ... tetragonal
DOS(E_F) ... 1.487 states/eV per cell

---

No. 8
First-principles (SCAN) data for TlZnAs2 at its PBEsol-relaxed geometry, as listed in Alexandria via LeMat-Bulk.

abc: 3.6473 3.6473 7.7054
angles: 76.31 76.31 60.00
Atoms (fractional coordinates):
1 Zn 0.2602 0.2602 0.2194
2 As 0.0013 0.0013 0.9961
3 As 0.7350 0.7350 0.7949
4 Tl 0.5034 0.5034 0.4897

## Properties
Calculated volume ... 21.3 Å³/atom
SG ... R3m, No. 160
M_tot ... 0.0 μB per cell
Energy relative to the lowest polymorph listed for this composition ... 0.36 eV/f.u.
Crystal system ... trigonal
DOS(E_F) ... 1.513 states/eV per cell

---

No. 9
First-principles (SCAN) data for Tl2ZnAs at its PBEsol-relaxed geometry, as listed in Alexandria via LeMat-Bulk.

abc: 4.0656 4.0656 7.3922
angles: 74.04 74.04 60.00
Atoms (fractional coordinates):
1 Zn 0.4735 0.4735 0.5795
2 As 0.7743 0.7743 0.6772
3 Tl 0.0119 0.0119 0.9642
4 Tl 0.2301 0.2301 0.3097

## Properties
Calculated volume ... 25.1 Å³/atom
SG ... R3m, No. 160
M_tot ... 0.0 μB per cell
Energy relative to the lowest polymorph listed for this composition ... 0.00 eV/f.u.
Crystal system ... trigonal
DOS(E_F) ... 1.202 states/eV per cell

---

No. 10
First-principles (SCAN) data for TlZnAs2 at its PBEsol-relaxed geometry, as listed in Alexandria via LeMat-Bulk.

abc: 3.0583 5.5179 5.5179
angles: 116.62 96.46 96.46
Atoms (fractional coordinates):
1 As 0.0000 0.0000 0.5000
2 Tl 0.5000 0.5000 0.5000
3 Zn 0.5000 0.0000 0.0000
4 As 0.0000 0.5000 0.0000

## Properties
Calculated volume ... 20.3 Å³/atom
SG ... C2/m, No. 12
M_tot ... 0.0 μB per cell
Energy relative to the lowest polymorph listed for this composition ... 1.49 eV/f.u.
Crystal system ... monoclinic
DOS(E_F) ... 1.618 states/eV per cell

---

No. 11
First-principles (SCAN) data for ZrTlAs at its PBEsol-relaxed geometry, as listed in Alexandria via LeMat-Bulk.

abc: 4.6673 4.6673 4.6673
angles: 60.00 60.00 60.00
Atoms (fractional coordinates):
1 Tl 0.0000 0.0000 0.0000
2 As 0.2500 0.2500 0.2500
3 Zr 0.5000 0.5000 0.5000

## Properties
Uncorrected energy ... -41.10 eV per atom
Calculated volume ... 24.0 Å³/atom
SG ... F-43m, No. 216
M_tot ... 0.0 μB per cell
Crystal system ... cubic
DOS(E_F) ... 0.872 states/eV per cell

---

No. 12
First-principles (SCAN) data for ZrTlAs2 at its PBEsol-relaxed geometry, as listed in Alexandria via LeMat-Bulk.

abc: 4.8920 4.8920 4.8920
angles: 60.00 60.00 60.00
Atoms (fractional coordinates):
1 As 0.0000 0.0000 0.0000
2 Tl 0.5000 0.5000 0.5000
3 As 0.7500 0.7500 0.7500
4 Zr 0.2500 0.2500 0.2500

## Properties
Uncorrected energy ... -35.70 eV per atom
Calculated volume ... 20.7 Å³/atom
SG ... F-43m, No. 216
M_tot ... 0.0 μB per cell
Crystal system ... cubic
DOS(E_F) ... 1.724 states/eV per cell